1.
## Sm4CdRu2 (PBE)

Data for a geometry-optimized Sm4CdRu2 structure.

Cell lengths 7.333, 7.353, 7.523 Å; angles 72.16, 85.73, 72.22 degrees
Element x y z (fractional)
Sm  0.000  0.000  0.000
Sm  0.011  0.452  0.073
Sm  0.249  0.687  0.630
Sm  0.382  0.194  0.479
Sm  0.438  0.147  0.987
Sm  0.463  0.616  0.144
Sm  0.758  0.784  0.396
Sm  0.896  0.206  0.502
Cd  0.685  0.448  0.793
Cd  0.730  0.843  0.798
Ru  0.079  0.375  0.713
Ru  0.124  0.599  0.334
Ru  0.210  0.991  0.291
Ru  0.705  0.224  0.191

Computed properties:
* energy of formation: -0.221 eV/atom
* space group: No. 1
* Fermi-level density of states: 5.0 states/eV/f.u.

2.
## Tb19Y4Tm6 (PBE)

Data for a geometry-optimized Tb19Y4Tm6 structure.

Cell lengths 10.798, 10.798, 10.798 Å; angles 109.47, 109.47, 109.47 degrees
Element x y z (fractional)
Tb  0.000  0.000  0.000
Tb  0.000  0.264  0.264
Tb  0.000  0.736  0.736
Tb  0.013  0.800  0.340
Tb  0.200  0.214  0.540
Tb  0.214  0.540  0.200
Tb  0.264  0.000  0.264
Tb  0.264  0.264  0.000
Tb  0.327  0.786  0.987
Tb  0.340  0.013  0.800
Tb  0.460  0.673  0.660
Tb  0.540  0.200  0.214
Tb  0.660  0.460  0.673
Tb  0.673  0.660  0.460
Tb  0.736  0.000  0.736
Tb  0.736  0.736  0.000
Tb  0.786  0.987  0.327
Tb  0.800  0.340  0.013
Tb  0.987  0.327  0.786
Y  0.000  0.000  0.643
Y  0.000  0.643  0.000
Y  0.357  0.357  0.357
Y  0.643  0.000  0.000
Tm  0.127  0.627  0.500
Tm  0.373  0.500  0.873
Tm  0.500  0.127  0.627
Tm  0.500  0.873  0.373
Tm  0.627  0.500  0.127
Tm  0.873  0.373  0.500

Computed properties:
* energy of formation: 0.398 eV/atom
* space group: No. 197
* Fermi-level density of states: 47.9 states/eV/f.u.